VASP calculation (GGA-PBE) on a geometry-optimized RbLaZrAl2 structure.

Unit cell a=5.5930 b=5.5930 c=5.7359 alpha=90.00 beta=90.00 gamma=90.00
Last column: nearest neighbours and their distance in Å.
Space group P4/mmm (No. 123)
Inequivalent atoms, fractional coordinates:
Rb1 0.0000 0.0000 0.0000 [1 per cell]  2 La 2.87
La1 0.0000 0.0000 0.5000 [1 per cell]  4 Al 2.80, 2 Rb 2.87
Zr1 0.5000 0.5000 0.0000 [1 per cell]  4 Rb 3.95, 8 Al 4.01
Al1 0.0000 0.5000 0.5000 [2 per cell]  2 La 2.80

VASP energy in eV per atom: -2.94
E_form in eV per atom: 1.448


VASP calculation (GGA-PBE) on a geometry-optimized SrSnHgPd structure.

Unit cell a=7.3160 b=7.3160 c=7.3160 alpha=90.00 beta=90.00 gamma=90.00
Last column: nearest neighbours and their distance in Å.
Space group F-43m (No. 216)
Inequivalent atoms, fractional coordinates:
Sr1 0.0000 0.0000 0.0000 [4 per cell]  4 Pd 3.17, 4 Hg 3.17
Sn1 0.0000 0.0000 0.5000 [4 per cell]  4 Hg 3.17, 4 Pd 3.17
Hg1 0.2500 0.2500 0.2500 [4 per cell]  4 Sn 3.17, 4 Sr 3.17
Pd1 0.2500 0.2500 0.7500 [4 per cell]  4 Sn 3.17, 4 Sr 3.17

VASP energy in eV per atom: -3.23
E_form in eV per atom: -0.434


Number 1 is which compound?
RbLaZrAl2


What is the formula in the first record?
RbLaZrAl2